one | This record from Alexandria via LeMat-Bulk describes crystalline Pm7Y5 at its relaxed geometry. The functional is PBE-GGA.

abc: 18.848 3.638 13.300
angles: 90.00 118.17 90.00
Space group C2/m (No. 12)
Unique sites:
Pm (0.000, 0.000, 0.000)
Pm (0.028, 0.500, 0.250)
Pm (0.139, 0.000, 0.751)
Pm (0.167, 0.000, 0.501)
Y (0.000, 0.500, 0.500)
Y (0.167, 0.500, 0.001)
Y (0.195, 0.000, 0.249)

Properties
density of states at the Fermi level = 1.372 states/eV/atom

two | This record from Alexandria via LeMat-Bulk describes crystalline Pm7Y5 at its relaxed geometry. The functional is PBE-GGA.

abc: 9.735 5.831 14.815
angles: 90.00 103.52 90.00
Space group C2/m (No. 12)
Unique sites:
Pm (0.000, 0.000, 0.000)
Pm (0.040, 0.500, 0.712)
Pm (0.182, 0.000, 0.584)
Pm (0.240, 0.500, 0.172)
Y (0.000, 0.500, 0.500)
Y (0.124, 0.000, 0.300)
Y (0.142, 0.500, 0.940)

Properties
density of states at the Fermi level = 1.681 states/eV/atom

The most stable of them is one.

one | This record from Alexandria via LeMat-Bulk describes crystalline Pm4Y3 at its relaxed geometry. The functional is PBE-GGA.

abc: 17.026 3.518 8.864
angles: 90.00 116.56 90.00
Space group C2/m (No. 12)
Unique sites:
Pm (0.078, 0.000, 0.203)
Pm (0.138, 0.500, 0.909)
Y (0.000, 0.000, 0.500)
Y (0.221, 0.000, 0.646)

Properties
density of states at the Fermi level = 1.707 states/eV/atom

two | This record from Alexandria via LeMat-Bulk describes crystalline Pm4Y3 at its relaxed geometry. The functional is PBE-GGA.

abc: 11.407 5.118 8.097
angles: 90.00 98.07 90.00
Space group C2/m (No. 12)
Unique sites:
Pm (0.143, 0.000, 0.428)
Pm (0.214, 0.500, 0.142)
Y (0.000, 0.000, 0.000)
Y (0.072, 0.500, 0.714)

Properties
density of states at the Fermi level = 1.383 states/eV/atom

The most stable of them is two.

one | This record from Alexandria via LeMat-Bulk describes crystalline Pm4Y at its relaxed geometry. The functional is PBE-GGA.

abc: 3.636 3.636 25.734
angles: 90.00 90.00 90.00
Space group I4/mmm (No. 139)
Unique sites:
Pm (0.000, 0.000, 0.099)
Pm (0.000, 0.000, 0.301)
Y (0.000, 0.000, 0.500)

Properties
density of states at the Fermi level = 1.372 states/eV/atom

two | This record from Alexandria via LeMat-Bulk describes crystalline Pm4Y at its relaxed geometry. The functional is PBE-GGA.

abc: 5.799 5.799 5.799
angles: 90.00 90.00 90.00
Space group Pm-3m (No. 221)
Unique sites:
Pm (0.000, 0.000, 0.000)
Pm (0.000, 0.500, 0.500)
Y (0.500, 0.500, 0.500)

Properties
density of states at the Fermi level = 1.677 states/eV/atom

three | This record from Alexandria via LeMat-Bulk describes crystalline Pm4Y at its relaxed geometry. The functional is PBE-GGA.

abc: 6.300 3.637 14.950
angles: 90.00 97.99 90.00
Space group C2/m (No. 12)
Unique sites:
Pm (0.101, 0.000, 0.302)
Pm (0.200, 0.500, 0.101)
Y (0.000, 0.500, 0.500)

Properties
density of states at the Fermi level = 1.260 states/eV/atom

The most stable of them is three.

one | This record from Alexandria via LeMat-Bulk describes crystalline Pm3YZn2 at its relaxed geometry. The functional is PBE-GGA.

abc: 3.665 3.665 12.332
angles: 90.00 90.00 90.00
Space group P4/mmm (No. 123)
Unique sites:
Pm (0.000, 0.000, 0.000)
Pm (0.000, 0.000, 0.292)
Y (0.500, 0.500, 0.500)
Zn (0.500, 0.500, 0.146)

Properties
density of states at the Fermi level = 1.017 states/eV/atom

two | This record from Alexandria via LeMat-Bulk describes crystalline Pm3YZn2 at its relaxed geometry. The functional is PBE-GGA.

abc: 5.160 9.327 6.806
angles: 90.00 90.00 90.00
Space group Pmc2_1 (No. 26)
Unique sites:
Pm (0.000, 0.057, 0.000)
Pm (0.000, 0.331, 0.338)
Pm (0.500, 0.174, 0.678)
Y (0.500, 0.444, 0.023)
Zn (0.000, 0.350, 0.789)
Zn (0.500, 0.154, 0.230)

Properties
density of states at the Fermi level = 0.601 states/eV/atom

The most stable of them is two.

one | This record from Alexandria via LeMat-Bulk describes crystalline PmYZn at its relaxed geometry. The functional is PBE-GGA.

abc: 5.0167 5.0167 3.7670
angles: 90.00 90.00 120.00
Space group P3m1 (No. 156)
Unique sites:
Pm (0.0000, 0.0000, 0.0000)
Y (0.6667, 0.3333, 0.4557)
Zn (0.3333, 0.6667, 0.6902)

Properties
density of states at the Fermi level = 1.245 states/eV/atom

two | This record from Alexandria via LeMat-Bulk describes crystalline PmYZn at its relaxed geometry. The functional is PBE-GGA.

abc: 3.633 3.633 12.361
angles: 90.00 90.00 90.00
Space group I4mm (No. 107)
Unique sites:
Pm (0.000, 0.000, 0.000)
Y (0.000, 0.000, 0.713)
Zn (0.000, 0.000, 0.349)

Properties
density of states at the Fermi level = 1.250 states/eV/atom

three | This record from Alexandria via LeMat-Bulk describes crystalline PmYZn at its relaxed geometry. The functional is PBE-GGA.

abc: 10.015 5.012 7.121
angles: 90.00 90.00 90.00
Space group Pnma (No. 62)
Unique sites:
Pm (0.127, 0.250, 0.005)
Y (0.123, 0.250, 0.504)
Zn (0.126, 0.750, 0.255)

Properties
density of states at the Fermi level = 1.581 states/eV/atom

The most stable of them is two.

one | This record from Alexandria via LeMat-Bulk describes crystalline Pm2YZn2 at its relaxed geometry. The functional is PBE-GGA.

abc: 3.673 5.190 13.689
angles: 90.00 97.74 90.00
Space group P2_1/m (No. 11)
Unique sites:
Pm (0.046, 0.250, 0.091)
Pm (0.231, 0.250, 0.463)
Y (0.143, 0.750, 0.285)
Zn (0.361, 0.750, 0.723)
Zn (0.448, 0.250, 0.896)

Properties
density of states at the Fermi level = 1.099 states/eV/atom

two | This record from Alexandria via LeMat-Bulk describes crystalline Pm2YZn2 at its relaxed geometry. The functional is PBE-GGA.

abc: 4.545 4.420 13.474
angles: 90.00 99.56 90.00
Space group P2_1/m (No. 11)
Unique sites:
Pm (0.054, 0.250, 0.110)
Pm (0.263, 0.750, 0.527)
Y (0.365, 0.250, 0.729)
Zn (0.167, 0.250, 0.333)
Zn (0.474, 0.250, 0.950)

Properties
density of states at the Fermi level = 1.287 states/eV/atom

The most stable of them is one.

one | This record from Alexandria via LeMat-Bulk describes crystalline Pm2YZr at its relaxed geometry. The functional is PBE-GGA.

abc: 4.066 4.066 7.348
angles: 90.00 90.00 90.00
Space group P4/mmm (No. 123)
Unique sites:
Pm (0.000, 0.000, 0.224)
Y (0.500, 0.500, 0.500)
Zr (0.500, 0.500, 0.000)

Properties
density of states at the Fermi level = 1.476 states/eV/atom

two | This record from Alexandria via LeMat-Bulk describes crystalline Pm2YZr at its relaxed geometry. The functional is PBE-GGA.

abc: 7.857 7.857 7.857
angles: 90.00 90.00 90.00
Space group Fm-3m (No. 225)
Unique sites:
Pm (0.250, 0.250, 0.250)
Y (0.000, 0.000, 0.000)
Zr (0.000, 0.000, 0.500)

Properties
density of states at the Fermi level = 1.686 states/eV/atom

The most stable of them is one.

one | This record from Alexandria via LeMat-Bulk describes crystalline Pm2YZr at its relaxed geometry. The functional is PBE-GGA.

abc: 3.4131 3.4131 36.4221
angles: 90.00 90.00 120.00
Space group R-3m (No. 166, hexagonal axes)
Unique sites:
Pm (0.0000, 0.0000, 0.0854)
Y (0.0000, 0.0000, 0.5000)
Zr (0.0000, 0.0000, 0.0000)

Properties
density of states at the Fermi level = 1.260 states/eV/atom

two | This record from Alexandria via LeMat-Bulk describes crystalline Pm2YZr at its relaxed geometry. The functional is PBE-GGA.

abc: 3.5061 3.5061 34.2373
angles: 90.00 90.00 120.00
Space group R3m (No. 160, hexagonal axes)
Unique sites:
Pm (0.0000, 0.0000, 0.0000)
Pm (0.0000, 0.0000, 0.1765)
Y (0.0000, 0.0000, 0.4208)
Zr (0.0000, 0.0000, 0.5886)

Properties
density of states at the Fermi level = 1.526 states/eV/atom

The most stable of them is two.